Sr2TePb SCAN PBEsol geometry; DOS at the Fermi energy = 0.598 states/eV per atom; formation energy (no corrections) = -3.8 eV per formula unit
1.0
-2.102 2.563 6.374
2.102 -2.563 6.374
2.102 2.563 -6.374
Sr Te Pb
2 1 1
direct
0.000 0.000 0.000
0.731 0.231 0.500
0.214 0.714 0.500
0.443 0.443 0.000